[1]
A relaxed Rb2F13 crystal, computed with GGA-PBE.

It has space group P-1 (No. 2), with a = 5.528 Å, b = 6.228 Å, c = 7.983 Å, α = 105.53°, β = 95.11° and γ = 91.18°. The inequivalent atoms are Rb at (0.207, 0.132, 0.299), F at (0.153, 0.614, 0.119), F at (0.238, 0.098, 0.927), F at (0.252, 0.406, 0.656), F at (0.265, 0.655, 0.619), F at (0.277, 0.923, 0.586), F at (0.395, 0.604, 0.210) and F at (0.500, 0.000, 0.000).

As for the formation energy without anion corrections: -0.7536 eV per atom.

---

[2]
A relaxed UTiH2 crystal, computed with GGA-PBE.

It has space group R-3m (No. 166, hexagonal axes), with a = 2.9186 Å, b = 2.9186 Å, c = 17.2735 Å, α = 90.00°, β = 90.00° and γ = 120.00°. The inequivalent atoms are U at (0.0000, 0.0000, 0.0000), Ti at (0.0000, 0.0000, 0.5000) and H at (0.0000, 0.0000, 0.2279).

The energy is -6.699 eV per atom.

---

[3]
A relaxed LaNbCr crystal, computed with GGA-PBE.

It has space group C2 (No. 5), with a = 12.073 Å, b = 3.242 Å, c = 6.935 Å, α = 90.00°, β = 106.21° and γ = 90.00°. The inequivalent atoms are La at (0.000, 0.000, 0.000), La at (0.000, 0.003, 0.500), Nb at (0.215, 0.503, 0.821) and Cr at (0.204, 0.503, 0.388).

For the energy of formation, the calculation gives 121 kJ/mol of formula units. The offset from the most stable computed form comes out at 0.053 eV per atom.

---

[4]
A relaxed CuP4 crystal, computed with GGA-PBE.

It has space group P2_1/c (No. 14), with a = 4.915 Å, b = 4.925 Å, c = 7.076 Å, α = 90.00°, β = 98.08° and γ = 90.00°. The inequivalent atoms are Cu at (0.000, 0.000, 0.000), P at (0.224, 0.199, 0.754) and P at (0.390, 0.633, 0.091).

For the energy of formation, the calculation gives -7 kJ/mol of formula units. The offset from the most stable computed form comes out at 0.000 eV per atom.

---

[5]
A relaxed Nd3Dy3MgTe8 crystal, computed with GGA-PBE.

It has space group R-3m (No. 166, hexagonal axes), with a = 8.7838 Å, b = 8.7838 Å, c = 21.8150 Å, α = 90.00°, β = 90.00° and γ = 120.00°. The inequivalent atoms are Nd at (0.0000, 0.5000, 0.0000), Dy at (0.0000, 0.5000, 0.5000), Mg at (0.0000, 0.0000, 0.5000), Te at (0.0000, 0.0000, 0.2463) and Te at (0.0029, 0.5014, 0.2455).

As for the formation energy without anion corrections: -1.3223 eV per atom.

---

[6]
A relaxed Ca2TeAu crystal, computed with GGA-PBE.

It has space group Fm-3m (No. 225), with a = 7.581 Å, b = 7.581 Å, c = 7.581 Å, α = 90.00°, β = 90.00° and γ = 90.00°. The inequivalent atoms are Ca at (0.250, 0.250, 0.250), Te at (0.000, 0.000, 0.000) and Au at (0.000, 0.000, 0.500).

As for the formation energy without anion corrections: -0.9515 eV per atom. The offset from the most stable computed form comes out at 0.202 eV per atom.

---

[7]
A relaxed Mg14AlHg crystal, computed with GGA-PBE.

It has space group P4/mmm (No. 123), with a = 6.455 Å, b = 6.455 Å, c = 8.519 Å, α = 90.00°, β = 90.00° and γ = 90.00°. The inequivalent atoms are Mg at (0.000, 0.000, 0.000), Mg at (0.000, 0.500, 0.000), Mg at (0.000, 0.500, 0.500), Mg at (0.250, 0.250, 0.258), Mg at (0.500, 0.500, 0.000), Al at (0.000, 0.000, 0.500) and Hg at (0.500, 0.500, 0.500).

For the energy of formation, the calculation gives -34 kJ/mol of formula units.

---

[8]
A relaxed Gd2SeBr crystal, computed with GGA-PBE.

It has space group R-3m (No. 166, hexagonal axes), with a = 4.0237 Å, b = 4.0237 Å, c = 22.3785 Å, α = 90.00°, β = 90.00° and γ = 120.00°. The inequivalent atoms are Gd at (0.0000, 0.0000, 0.2383), Se at (0.0000, 0.0000, 0.5000) and Br at (0.0000, 0.0000, 0.0000).

As for the formation energy without anion corrections: -1.4190 eV per atom.

---

[9]
A relaxed Tl2AuCl4 crystal, computed with GGA-PBE.

It has space group I-42d (No. 122), with a = 8.219 Å, b = 8.219 Å, c = 14.177 Å, α = 90.00°, β = 90.00° and γ = 90.00°. The inequivalent atoms are Tl at (0.139, 0.250, 0.125), Au at (0.000, 0.000, 0.500) and Cl at (0.084, 0.214, 0.766).

As for the formation energy without anion corrections: -0.6293 eV per atom.

---

[10]
A relaxed TlIrW crystal, computed with GGA-PBE.

It has space group P3m1 (No. 156), with a = 2.9494 Å, b = 2.9494 Å, c = 7.1971 Å, α = 90.00°, β = 90.00° and γ = 120.00°. The inequivalent atoms are Tl at (0.0000, 0.0000, 0.0000), Ir at (0.6667, 0.3333, 0.6445) and W at (0.3333, 0.6667, 0.3644).

For the energy of formation, the calculation gives 150 kJ/mol of formula units.

---

[11]
A relaxed NpCoPd crystal, computed with GGA-PBE.

It has space group R-3m (No. 166, hexagonal axes), with a = 4.4189 Å, b = 4.4189 Å, c = 18.1093 Å, α = 90.00°, β = 90.00° and γ = 120.00°. The inequivalent atoms are Np at (0.0000, 0.0000, 0.2090), Co at (0.0000, 0.0000, 0.0655) and Pd at (0.0000, 0.0000, 0.3697).

For the energy of formation, the calculation gives 34 kJ/mol of formula units.

---

[12]
A relaxed Ca2AgSbN crystal, computed with GGA-PBE.

It has space group P4/mmm (No. 123), with a = 4.852 Å, b = 4.852 Å, c = 4.517 Å, α = 90.00°, β = 90.00° and γ = 90.00°. The inequivalent atoms are Ca at (0.000, 0.500, 0.000), Ag at (0.000, 0.000, 0.500), Sb at (0.500, 0.500, 0.500) and N at (0.000, 0.000, 0.000).

As for the formation energy without anion corrections: -0.5525 eV per atom.